# 1
## Ti2NbMo2 (PBE-GGA)

Data for an optimized crystal structure of Ti2NbMo2.

Properties
Polymorph energy (0 for the lowest one)   0 meV per atom
M_tot   0.000 μB/cell
D(E_F)   13.3 states/eV per cell

```
data_Ti2NbMo2
_chemical_formula_sum 'Ti4 Nb2 Mo4'
_cell_length_a 7.839
_cell_length_b 4.538
_cell_length_c 5.345
_cell_angle_alpha 90.00
_cell_angle_beta 119.40
_cell_angle_gamma 90.00
_space_group_name_H-M_alt 'C 1 2/m 1'
_space_group_IT_number 12
loop_
_space_group_symop_operation_xyz
'x,y,z'
'-x,-y,-z'
'-x,y,-z'
'x,-y,z'
'x+1/2,y+1/2,z'
'-x+1/2,-y+1/2,-z'
'-x+1/2,y+1/2,-z'
'x+1/2,-y+1/2,z'
loop_
_atom_site_label
_atom_site_type_symbol
_atom_site_fract_x
_atom_site_fract_y
_atom_site_fract_z
Ti1 Ti 0.209 0.000 0.125
Nb1 Nb 0.000 0.000 0.500
Mo1 Mo 0.093 0.500 0.280
```

***

# 2
## Ti6NbMo3 (PBE-GGA)

Data for an optimized crystal structure of Ti6NbMo3.

Properties
M_tot   0.000 μB/cell
D(E_F)   23.1 states/eV per cell

```
data_Ti6NbMo3
_chemical_formula_sum 'Ti12 Nb2 Mo6'
_cell_length_a 9.760
_cell_length_b 3.097
_cell_length_c 12.172
_cell_angle_alpha 90.00
_cell_angle_beta 110.05
_cell_angle_gamma 90.00
_space_group_name_H-M_alt 'P 1 21/m 1'
_space_group_IT_number 11
loop_
_space_group_symop_operation_xyz
'x,y,z'
'-x,-y,-z'
'-x,y+1/2,-z'
'x,-y+1/2,z'
loop_
_atom_site_label
_atom_site_type_symbol
_atom_site_fract_x
_atom_site_fract_y
_atom_site_fract_z
Ti1 Ti 0.078 0.250 0.243
Ti2 Ti 0.153 0.750 0.654
Ti3 Ti 0.256 0.250 0.871
Ti4 Ti 0.298 0.750 0.095
Ti5 Ti 0.359 0.750 0.491
Ti6 Ti 0.404 0.250 0.701
Nb1 Nb 0.362 0.250 0.303
Mo1 Mo 0.060 0.250 0.950
Mo2 Mo 0.120 0.250 0.469
Mo3 Mo 0.479 0.750 0.901
```

***

# 3
## TiNb2Mo5 (PBE-GGA)

Data for an optimized crystal structure of TiNb2Mo5.

Properties
M_tot   0.000 μB/cell
D(E_F)   20.3 states/eV per cell

```
data_TiNb2Mo5
_chemical_formula_sum 'Ti2 Nb4 Mo10'
_cell_length_a 6.392
_cell_length_b 6.392
_cell_length_c 6.403
_cell_angle_alpha 90.00
_cell_angle_beta 90.00
_cell_angle_gamma 90.00
_space_group_name_H-M_alt 'I 4/m m m'
_space_group_IT_number 139
_space_group_name_Hall '-I 4 2'
loop_
_atom_site_label
_atom_site_type_symbol
_atom_site_fract_x
_atom_site_fract_y
_atom_site_fract_z
Ti1 Ti 0.000 0.000 0.000
Nb1 Nb 0.000 0.500 0.000
Mo1 Mo 0.000 0.000 0.500
Mo2 Mo 0.250 0.250 0.250
```

***

# 4
## Ti4Nb2Mo (PBE-GGA)

Data for an optimized crystal structure of Ti4Nb2Mo.

Properties
Polymorph energy (0 for the lowest one)   0 meV per atom
M_tot   0.000 μB/cell
D(E_F)   10.3 states/eV per cell

```
data_Ti4Nb2Mo
_chemical_formula_sum 'Ti4 Nb2 Mo1'
_cell_length_a 2.868
_cell_length_b 6.960
_cell_length_c 7.015
_cell_angle_alpha 116.08
_cell_angle_beta 98.48
_cell_angle_gamma 99.25
_space_group_name_H-M_alt 'P -1'
_space_group_IT_number 2
loop_
_space_group_symop_operation_xyz
'x,y,z'
'-x,-y,-z'
loop_
_atom_site_label
_atom_site_type_symbol
_atom_site_fract_x
_atom_site_fract_y
_atom_site_fract_z
Ti1 Ti 0.051 0.417 0.273
Ti2 Ti 0.280 0.275 0.860
Nb1 Nb 0.400 0.143 0.424
Mo1 Mo 0.500 0.000 0.000
```

***

Record-wise formation energy from the elements values, in eV per formula unit: -0.618; 1.838; -0.912; -0.138